Computed, not measured: crystalline TiAlSn2 at its relaxed geometry at the PBE level of DFT.

Geometry as POSCAR:
```
TiAlSn2
1.0
7.818 0.000 0.000
0.000 7.818 0.000
0.000 0.000 5.860
Ti Al Sn
4 4 8
direct
0.000 0.000 0.000
0.000 0.500 0.250
0.500 0.000 0.750
0.500 0.500 0.500
0.000 0.000 0.500
0.000 0.500 0.750
0.500 0.000 0.250
0.500 0.500 0.000
0.243 0.750 0.625
0.250 0.243 0.375
0.250 0.257 0.875
0.257 0.750 0.125
0.743 0.250 0.125
0.750 0.743 0.875
0.750 0.757 0.375
0.757 0.250 0.625
```

As for the energy of formation from the pure elements: 0.214 eV per atom. The symmetry is I-42d.